# 1
Entry from Alexandria via LeMat-Bulk: crystalline Na2CaVO4 at its relaxed geometry (PBE with a Hubbard U).

Lattice parameters (Å, degrees): 5.662 5.662 5.662 122.30 122.30 86.06
Fractional positions:
Na (0.000, 0.000, 0.000)
Na (0.750, 0.250, 0.500)
Ca (0.500, 0.500, 0.000)
V (0.250, 0.750, 0.500)
O (0.157, 0.071, 0.513)
O (0.357, 0.843, 0.915)
O (0.558, 0.643, 0.487)
O (0.929, 0.442, 0.085)

As for the total moment: 1.00 μB/cell. The density of states at the Fermi level comes out at 0.0 states/eV per cell. The value obtained for the final energy is -48.77 eV for the cell shown.



# 2
Entry from Alexandria via LeMat-Bulk: crystalline NaCaVO4 at its relaxed geometry (PBE with a Hubbard U).

Lattice parameters (Å, degrees): 5.574 5.574 7.202 90.00 90.00 115.28
Fractional positions:
Na (0.179, 0.821, 0.750)
Na (0.821, 0.179, 0.250)
Ca (0.500, 0.500, 0.000)
Ca (0.500, 0.500, 0.500)
V (0.148, 0.852, 0.250)
V (0.852, 0.148, 0.750)
O (0.203, 0.278, 0.750)
O (0.255, 0.745, 0.056)
O (0.255, 0.745, 0.444)
O (0.278, 0.203, 0.250)
O (0.722, 0.797, 0.750)
O (0.745, 0.255, 0.556)
O (0.745, 0.255, 0.944)
O (0.797, 0.722, 0.250)

For the offset from the most stable computed form, the calculation gives 0.00 kcal/mol of atoms. As for the total moment: 0.00 μB/cell. The density of states at the Fermi level comes out at 0.0 states/eV per cell. The value obtained for the final energy is -94.43 eV for the cell shown.



# 3
Entry from Alexandria via LeMat-Bulk: crystalline Na3CaV4O12 at its relaxed geometry (PBE with a Hubbard U).

Lattice parameters (Å, degrees): 7.145 7.145 7.145 106.75 106.75 106.75
Fractional positions:
Na (0.000, 0.555, 0.445)
Na (0.445, 0.000, 0.555)
Na (0.555, 0.445, 0.000)
Ca (0.000, 0.000, 0.000)
V (0.056, 0.500, 0.944)
V (0.500, 0.500, 0.500)
V (0.500, 0.944, 0.056)
V (0.944, 0.056, 0.500)
O (0.046, 0.664, 0.805)
O (0.088, 0.912, 0.500)
O (0.195, 0.336, 0.954)
O (0.336, 0.954, 0.195)
O (0.354, 0.646, 0.500)
O (0.500, 0.088, 0.912)
O (0.500, 0.354, 0.646)
O (0.646, 0.500, 0.354)
O (0.664, 0.805, 0.046)
O (0.805, 0.046, 0.664)
O (0.912, 0.500, 0.088)
O (0.954, 0.195, 0.336)

As for the total moment: 1.01 μB/cell. The density of states at the Fermi level comes out at 2.0 states/eV per cell. The value obtained for the final energy is -128.30 eV for the cell shown.



# 4
Entry from Alexandria via LeMat-Bulk: crystalline NaCaVO4 at its relaxed geometry (PBE with a Hubbard U).

Lattice parameters (Å, degrees): 6.022 5.880 6.869 90.00 90.88 90.00
Fractional positions:
Na (0.138, 0.250, 0.362)
Na (0.862, 0.750, 0.638)
Ca (0.318, 0.250, 0.922)
Ca (0.682, 0.750, 0.078)
V (0.183, 0.750, 0.160)
V (0.817, 0.250, 0.840)
O (0.037, 0.250, 0.677)
O (0.058, 0.750, 0.934)
O (0.364, 0.517, 0.179)
O (0.364, 0.983, 0.179)
O (0.636, 0.017, 0.821)
O (0.636, 0.483, 0.821)
O (0.942, 0.250, 0.066)
O (0.963, 0.750, 0.323)

For the offset from the most stable computed form, the calculation gives 1.50 kcal/mol of atoms. As for the total moment: 0.00 μB/cell. The density of states at the Fermi level comes out at 0.0 states/eV per cell. The value obtained for the final energy is -93.52 eV for the cell shown.



# 5
Entry from Alexandria via LeMat-Bulk: crystalline NaCaVO4 at its relaxed geometry (PBE with a Hubbard U).

Lattice parameters (Å, degrees): 5.642 5.642 7.124 90.00 90.00 114.68
Fractional positions:
Na (0.000, 0.000, 0.000)
Na (0.000, 0.000, 0.500)
Ca (0.326, 0.674, 0.750)
Ca (0.674, 0.326, 0.250)
V (0.354, 0.646, 0.250)
V (0.646, 0.354, 0.750)
O (0.246, 0.306, 0.250)
O (0.248, 0.752, 0.052)
O (0.248, 0.752, 0.448)
O (0.306, 0.246, 0.750)
O (0.694, 0.754, 0.250)
O (0.752, 0.248, 0.552)
O (0.752, 0.248, 0.948)
O (0.754, 0.694, 0.750)

For the offset from the most stable computed form, the calculation gives 1.73 kcal/mol of atoms. As for the total moment: 0.00 μB/cell. The density of states at the Fermi level comes out at 0.0 states/eV per cell. The value obtained for the final energy is -93.38 eV for the cell shown.



# 6
Entry from Alexandria via LeMat-Bulk: crystalline Na3Ca3WO8 at its relaxed geometry (PBE with a Hubbard U).

Lattice parameters (Å, degrees): 6.786 6.786 6.786 59.85 59.85 59.85
Fractional positions:
Na (0.000, 0.500, 0.500)
Na (0.500, 0.000, 0.500)
Na (0.500, 0.500, 0.000)
Ca (0.000, 0.000, 0.500)
Ca (0.000, 0.500, 0.000)
Ca (0.500, 0.000, 0.000)
W (0.500, 0.500, 0.500)
O (0.240, 0.240, 0.240)
O (0.287, 0.706, 0.706)
O (0.294, 0.294, 0.713)
O (0.294, 0.713, 0.294)
O (0.706, 0.287, 0.706)
O (0.706, 0.706, 0.287)
O (0.713, 0.294, 0.294)
O (0.760, 0.760, 0.760)

As for the total moment: 1.12 μB/cell. The density of states at the Fermi level comes out at 9.7 states/eV per cell. The value obtained for the final energy is -90.61 eV for the cell shown.



# 7
Entry from Alexandria via LeMat-Bulk: crystalline Na3Ca2WO6 at its relaxed geometry (PBE with a Hubbard U).

Lattice parameters (Å, degrees): 5.790 5.790 5.832 99.59 99.59 120.08
Fractional positions:
Na (0.000, 0.000, 0.000)
Na (0.334, 0.666, 0.000)
Na (0.666, 0.334, 0.000)
Ca (0.170, 0.830, 0.500)
Ca (0.830, 0.170, 0.500)
W (0.500, 0.500, 0.500)
O (0.130, 0.427, 0.285)
O (0.283, 0.283, 0.700)
O (0.427, 0.130, 0.285)
O (0.573, 0.870, 0.715)
O (0.717, 0.717, 0.300)
O (0.870, 0.573, 0.715)

As for the total moment: 1.00 μB/cell. The density of states at the Fermi level comes out at 0.0 states/eV per cell. The value obtained for the final energy is -72.23 eV for the cell shown.



# 8
Entry from Alexandria via LeMat-Bulk: crystalline Na2CaWO4 at its relaxed geometry (PBE with a Hubbard U).

Lattice parameters (Å, degrees): 5.407 5.407 5.407 113.39 113.39 101.90
Fractional positions:
Na (0.000, 0.000, 0.000)
Na (0.750, 0.250, 0.500)
Ca (0.250, 0.750, 0.500)
W (0.500, 0.500, 0.000)
O (0.255, 0.346, 0.554)
O (0.299, 0.745, 0.091)
O (0.654, 0.208, 0.909)
O (0.792, 0.701, 0.446)

As for the total moment: 0.05 μB/cell. The density of states at the Fermi level comes out at 0.0 states/eV per cell. The value obtained for the final energy is -47.86 eV for the cell shown.



# 9
Entry from Alexandria via LeMat-Bulk: crystalline Na2Ca2WO6 at its relaxed geometry (PBE with a Hubbard U).

Lattice parameters (Å, degrees): 5.719 5.719 5.876 98.94 98.94 118.30
Fractional positions:
Na (0.160, 0.840, 0.000)
Na (0.840, 0.160, 0.000)
Ca (0.337, 0.663, 0.500)
Ca (0.663, 0.337, 0.500)
W (0.000, 0.000, 0.500)
O (0.052, 0.344, 0.696)
O (0.216, 0.216, 0.301)
O (0.344, 0.052, 0.696)
O (0.656, 0.948, 0.304)
O (0.784, 0.784, 0.699)
O (0.948, 0.656, 0.304)

As for the total moment: 0.00 μB/cell. The density of states at the Fermi level comes out at 0.0 states/eV per cell. The value obtained for the final energy is -69.66 eV for the cell shown.



# 10
Entry from Alexandria via LeMat-Bulk: crystalline NaCaZrWO6 at its relaxed geometry (PBE with a Hubbard U).

Lattice parameters (Å, degrees): 5.751 5.751 5.751 60.00 60.00 60.00
Fractional positions:
Na (0.000, 0.000, 0.000)
Ca (0.500, 0.500, 0.500)
Zr (0.250, 0.250, 0.250)
W (0.750, 0.750, 0.750)
O (0.507, 0.507, 0.993)
O (0.507, 0.993, 0.507)
O (0.507, 0.993, 0.993)
O (0.993, 0.507, 0.507)
O (0.993, 0.507, 0.993)
O (0.993, 0.993, 0.507)

As for the total moment: 1.00 μB/cell. The density of states at the Fermi level comes out at 1.7 states/eV per cell. The value obtained for the final energy is -74.02 eV for the cell shown.